[1]
# BaDy2F7 PBE-GGA optimized geometry
data_BaDy2F7
_chemical_formula_sum 'Ba1 Dy2 F7'
_cell_length_a 6.688
_cell_length_b 6.688
_cell_length_c 4.306
_cell_angle_alpha 90.00
_cell_angle_beta 90.00
_cell_angle_gamma 116.30
_symmetry_space_group_name_H-M 'P 1'
_symmetry_Int_Tables_number 1
_symmetry_space_group_name_Hall 'P 1'
loop_
_atom_site_label
_atom_site_type_symbol
_atom_site_fract_x
_atom_site_fract_y
_atom_site_fract_z
Ba1 Ba 0.000 0.000 0.000
Dy1 Dy 0.311 0.689 0.500
Dy2 Dy 0.689 0.311 0.500
F1 F 0.045 0.328 0.500
F2 F 0.254 0.746 0.000
F3 F 0.328 0.045 0.500
F4 F 0.500 0.500 0.500
F5 F 0.672 0.955 0.500
F6 F 0.746 0.254 0.000
F7 F 0.955 0.672 0.500
# **Uncorrected formation energy**: -369 kJ/mol of atoms

=====

[2]
# BaDyF5 PBE-GGA optimized geometry
data_BaDyF5
_chemical_formula_sum 'Ba2 Dy2 F10'
_cell_length_a 8.489
_cell_length_b 8.489
_cell_length_c 5.963
_cell_angle_alpha 90.74
_cell_angle_beta 90.74
_cell_angle_gamma 149.55
_symmetry_space_group_name_H-M 'P 1'
_symmetry_Int_Tables_number 1
_symmetry_space_group_name_Hall 'P 1'
loop_
_atom_site_label
_atom_site_type_symbol
_atom_site_fract_x
_atom_site_fract_y
_atom_site_fract_z
Ba1 Ba 0.173 0.827 0.750
Ba2 Ba 0.827 0.173 0.250
Dy1 Dy 0.426 0.574 0.750
Dy2 Dy 0.574 0.426 0.250
F1 F 0.116 0.884 0.250
F2 F 0.242 0.312 0.406
F3 F 0.305 0.671 0.987
F4 F 0.312 0.242 0.906
F5 F 0.329 0.695 0.513
F6 F 0.671 0.305 0.487
F7 F 0.688 0.758 0.094
F8 F 0.695 0.329 0.013
F9 F 0.758 0.688 0.594
F10 F 0.884 0.116 0.750
# **Uncorrected formation energy**: -392 kJ/mol of atoms

=====

[3]
# K2BaDyF8 PBE-GGA optimized geometry
data_K2BaDyF8
_chemical_formula_sum 'K2 Ba1 Dy1 F8'
_cell_length_a 7.315
_cell_length_b 7.315
_cell_length_c 7.315
_cell_angle_alpha 130.82
_cell_angle_beta 130.82
_cell_angle_gamma 72.11
_symmetry_space_group_name_H-M 'P 1'
_symmetry_Int_Tables_number 1
_symmetry_space_group_name_Hall 'P 1'
loop_
_atom_site_label
_atom_site_type_symbol
_atom_site_fract_x
_atom_site_fract_y
_atom_site_fract_z
K1 K 0.000 0.000 0.000
K2 K 0.750 0.250 0.500
Ba1 Ba 0.500 0.500 0.000
Dy1 Dy 0.250 0.750 0.500
F1 F 0.147 0.085 0.506
F2 F 0.147 0.641 0.062
F3 F 0.359 0.421 0.506
F4 F 0.359 0.853 0.938
F5 F 0.579 0.085 0.938
F6 F 0.579 0.641 0.494
F7 F 0.915 0.421 0.062
F8 F 0.915 0.853 0.494
# **Uncorrected formation energy**: -317 kJ/mol of atoms

=====

[4]
# BaLiDyF6 PBE-GGA optimized geometry
data_BaLiDyF6
_chemical_formula_sum 'Ba2 Li2 Dy2 F12'
_cell_length_a 5.633
_cell_length_b 5.633
_cell_length_c 11.354
_cell_angle_alpha 90.00
_cell_angle_beta 90.00
_cell_angle_gamma 120.00
_symmetry_space_group_name_H-M 'P 1'
_symmetry_Int_Tables_number 1
_symmetry_space_group_name_Hall 'P 1'
loop_
_atom_site_label
_atom_site_type_symbol
_atom_site_fract_x
_atom_site_fract_y
_atom_site_fract_z
Ba1 Ba 0.000 0.000 0.000
Ba2 Ba 0.000 0.000 0.500
Li1 Li 0.333 0.667 0.250
Li2 Li 0.667 0.333 0.750
Dy1 Dy 0.333 0.667 0.750
Dy2 Dy 0.667 0.333 0.250
F1 F 0.010 0.373 0.145
F2 F 0.010 0.637 0.355
F3 F 0.363 0.373 0.355
F4 F 0.363 0.990 0.145
F5 F 0.373 0.010 0.645
F6 F 0.373 0.363 0.855
F7 F 0.627 0.637 0.145
F8 F 0.627 0.990 0.355
F9 F 0.637 0.010 0.855
F10 F 0.637 0.627 0.645
F11 F 0.990 0.363 0.645
F12 F 0.990 0.627 0.855
# **Uncorrected formation energy**: -362 kJ/mol of atoms

=====

[5]
# Ba2Li3DyF12 PBE-GGA optimized geometry
data_Ba2Li3DyF12
_chemical_formula_sum 'Ba2 Li3 Dy1 F12'
_cell_length_a 7.155
_cell_length_b 7.155
_cell_length_c 7.155
_cell_angle_alpha 58.61
_cell_angle_beta 58.61
_cell_angle_gamma 58.61
_symmetry_space_group_name_H-M 'P 1'
_symmetry_Int_Tables_number 1
_symmetry_space_group_name_Hall 'P 1'
loop_
_atom_site_label
_atom_site_type_symbol
_atom_site_fract_x
_atom_site_fract_y
_atom_site_fract_z
Ba1 Ba 0.107 0.107 0.107
Ba2 Ba 0.893 0.893 0.893
Li1 Li 0.000 0.500 0.500
Li2 Li 0.500 0.000 0.500
Li3 Li 0.500 0.500 0.000
Dy1 Dy 0.500 0.500 0.500
F1 F 0.101 0.635 0.635
F2 F 0.225 0.225 0.645
F3 F 0.225 0.645 0.225
F4 F 0.355 0.775 0.775
F5 F 0.365 0.365 0.899
F6 F 0.365 0.899 0.365
F7 F 0.635 0.101 0.635
F8 F 0.635 0.635 0.101
F9 F 0.645 0.225 0.225
F10 F 0.775 0.355 0.775
F11 F 0.775 0.775 0.355
F12 F 0.899 0.365 0.365
# **Uncorrected formation energy**: -295 kJ/mol of atoms

=====

[6]
# BaNaDyF6 PBE-GGA optimized geometry
data_BaNaDyF6
_chemical_formula_sum 'Ba2 Na2 Dy2 F12'
_cell_length_a 5.974
_cell_length_b 5.974
_cell_length_c 11.090
_cell_angle_alpha 90.00
_cell_angle_beta 90.00
_cell_angle_gamma 120.00
_symmetry_space_group_name_H-M 'P 1'
_symmetry_Int_Tables_number 1
_symmetry_space_group_name_Hall 'P 1'
loop_
_atom_site_label
_atom_site_type_symbol
_atom_site_fract_x
_atom_site_fract_y
_atom_site_fract_z
Ba1 Ba 0.000 0.000 0.000
Ba2 Ba 0.000 0.000 0.500
Na1 Na 0.333 0.667 0.250
Na2 Na 0.667 0.333 0.750
Dy1 Dy 0.333 0.667 0.750
Dy2 Dy 0.667 0.333 0.250
F1 F 0.019 0.367 0.642
F2 F 0.019 0.652 0.858
F3 F 0.348 0.367 0.858
F4 F 0.348 0.981 0.642
F5 F 0.367 0.019 0.142
F6 F 0.367 0.348 0.358
F7 F 0.633 0.652 0.642
F8 F 0.633 0.981 0.858
F9 F 0.652 0.019 0.358
F10 F 0.652 0.633 0.142
F11 F 0.981 0.348 0.142
F12 F 0.981 0.633 0.358
# **Uncorrected formation energy**: -360 kJ/mol of atoms

=====

[7]
# Ba2NaDyF8 PBE-GGA optimized geometry
data_Ba2NaDyF8
_chemical_formula_sum 'Ba2 Na1 Dy1 F8'
_cell_length_a 7.229
_cell_length_b 7.229
_cell_length_c 7.229
_cell_angle_alpha 131.48
_cell_angle_beta 131.48
_cell_angle_gamma 71.05
_symmetry_space_group_name_H-M 'P 1'
_symmetry_Int_Tables_number 1
_symmetry_space_group_name_Hall 'P 1'
loop_
_atom_site_label
_atom_site_type_symbol
_atom_site_fract_x
_atom_site_fract_y
_atom_site_fract_z
Ba1 Ba 0.000 0.000 0.000
Ba2 Ba 0.750 0.250 0.500
Na1 Na 0.500 0.500 0.000
Dy1 Dy 0.250 0.750 0.500
F1 F 0.143 0.095 0.507
F2 F 0.143 0.636 0.049
F3 F 0.364 0.413 0.507
F4 F 0.364 0.857 0.951
F5 F 0.587 0.095 0.951
F6 F 0.587 0.636 0.493
F7 F 0.905 0.413 0.049
F8 F 0.905 0.857 0.493
# **Uncorrected formation energy**: -362 kJ/mol of atoms

=====

[8]
# Ba3Dy2O4F3 PBE-GGA optimized geometry
data_Ba3Dy2O4F3
_chemical_formula_sum 'Ba3 Dy2 O4 F3'
_cell_length_a 12.327
_cell_length_b 12.327
_cell_length_c 12.327
_cell_angle_alpha 159.88
_cell_angle_beta 159.72
_cell_angle_gamma 28.72
_symmetry_space_group_name_H-M 'P 1'
_symmetry_Int_Tables_number 1
_symmetry_space_group_name_Hall 'P 1'
loop_
_atom_site_label
_atom_site_type_symbol
_atom_site_fract_x
_atom_site_fract_y
_atom_site_fract_z
Ba1 Ba 0.000 0.000 0.000
Ba2 Ba 0.199 0.199 0.000
Ba3 Ba 0.801 0.801 0.000
Dy1 Dy 0.398 0.398 0.000
Dy2 Dy 0.602 0.602 0.000
O1 O 0.085 0.585 0.500
O2 O 0.307 0.307 0.000
O3 O 0.693 0.693 0.000
O4 O 0.915 0.415 0.500
F1 F 0.423 0.923 0.500
F2 F 0.500 0.500 0.000
F3 F 0.577 0.077 0.500
# **Uncorrected formation energy**: -305 kJ/mol of atoms

=====

[9]
# BaDyO2F PBE-GGA optimized geometry
data_BaDyO2F
_chemical_formula_sum 'Ba1 Dy1 O2 F1'
_cell_length_a 4.436
_cell_length_b 4.436
_cell_length_c 4.607
_cell_angle_alpha 90.00
_cell_angle_beta 90.00
_cell_angle_gamma 90.00
_symmetry_space_group_name_H-M 'P 1'
_symmetry_Int_Tables_number 1
_symmetry_space_group_name_Hall 'P 1'
loop_
_atom_site_label
_atom_site_type_symbol
_atom_site_fract_x
_atom_site_fract_y
_atom_site_fract_z
Ba1 Ba 0.000 0.000 0.000
Dy1 Dy 0.500 0.500 0.402
O1 O 0.000 0.500 0.329
O2 O 0.500 0.000 0.329
F1 F 0.500 0.500 0.884
# **Uncorrected formation energy**: -324 kJ/mol of atoms

=====

[10]
# Rb2BaDyF6 PBE-GGA optimized geometry
data_Rb2BaDyF6
_chemical_formula_sum 'Rb2 Ba1 Dy1 F6'
_cell_length_a 7.337
_cell_length_b 7.337
_cell_length_c 7.337
_cell_angle_alpha 52.64
_cell_angle_beta 52.64
_cell_angle_gamma 52.64
_symmetry_space_group_name_H-M 'P 1'
_symmetry_Int_Tables_number 1
_symmetry_space_group_name_Hall 'P 1'
loop_
_atom_site_label
_atom_site_type_symbol
_atom_site_fract_x
_atom_site_fract_y
_atom_site_fract_z
Rb1 Rb 0.222 0.222 0.222
Rb2 Rb 0.778 0.778 0.778
Ba1 Ba 0.000 0.000 0.000
Dy1 Dy 0.500 0.500 0.500
F1 F 0.228 0.720 0.737
F2 F 0.263 0.772 0.280
F3 F 0.280 0.263 0.772
F4 F 0.720 0.737 0.228
F5 F 0.737 0.228 0.720
F6 F 0.772 0.280 0.263
# **Uncorrected formation energy**: -318 kJ/mol of atoms

=====

[11]
# BaDySe2F PBE-GGA optimized geometry
data_BaDySe2F
_chemical_formula_sum 'Ba2 Dy2 Se4 F2'
_cell_length_a 4.227
_cell_length_b 4.227
_cell_length_c 15.004
_cell_angle_alpha 90.00
_cell_angle_beta 90.00
_cell_angle_gamma 90.00
_symmetry_space_group_name_H-M 'P 1'
_symmetry_Int_Tables_number 1
_symmetry_space_group_name_Hall 'P 1'
loop_
_atom_site_label
_atom_site_type_symbol
_atom_site_fract_x
_atom_site_fract_y
_atom_site_fract_z
Ba1 Ba 0.250 0.250 0.108
Ba2 Ba 0.750 0.750 0.892
Dy1 Dy 0.250 0.250 0.614
Dy2 Dy 0.750 0.750 0.386
Se1 Se 0.250 0.250 0.411
Se2 Se 0.250 0.250 0.788
Se3 Se 0.750 0.750 0.212
Se4 Se 0.750 0.750 0.589
F1 F 0.250 0.750 0.000
F2 F 0.750 0.250 0.000
# **Uncorrected formation energy**: -237 kJ/mol of atoms

=====

[12]
# BaDyTl2F8 PBE-GGA optimized geometry
data_BaDyTl2F8
_chemical_formula_sum 'Ba1 Dy1 Tl2 F8'
_cell_length_a 7.174
_cell_length_b 7.174
_cell_length_c 7.174
_cell_angle_alpha 129.51
_cell_angle_beta 129.51
_cell_angle_gamma 74.20
_symmetry_space_group_name_H-M 'P 1'
_symmetry_Int_Tables_number 1
_symmetry_space_group_name_Hall 'P 1'
loop_
_atom_site_label
_atom_site_type_symbol
_atom_site_fract_x
_atom_site_fract_y
_atom_site_fract_z
Ba1 Ba 0.000 0.000 0.000
Dy1 Dy 0.750 0.250 0.500
Tl1 Tl 0.250 0.750 0.500
Tl2 Tl 0.500 0.500 0.000
F1 F 0.093 0.158 0.511
F2 F 0.093 0.582 0.935
F3 F 0.418 0.353 0.511
F4 F 0.418 0.907 0.065
F5 F 0.647 0.158 0.065
F6 F 0.647 0.582 0.489
F7 F 0.842 0.353 0.935
F8 F 0.842 0.907 0.489
# **Uncorrected formation energy**: -293 kJ/mol of atoms